# CsCd5Pb7

Crystalline CsCd5Pb7 at its relaxed geometry (PBE, the Alexandria database).

Cell lengths 6.186, 11.163, 11.474 Å; angles 90.00, 90.00, 90.00 degrees
Space group Imm2 (No. 44)
Symmetry-distinct sites (fractional):
Cs: 0.000 0.000 0.000 [2 per cell]
Cd: 0.000 0.500 0.278 [2 per cell]
Cd: 0.249 0.259 0.251 [8 per cell]
Pb: 0.000 0.000 0.351 [2 per cell]
Pb: 0.000 0.000 0.641 [2 per cell]
Pb: 0.000 0.285 0.500 [4 per cell]
Pb: 0.000 0.353 0.000 [4 per cell]
Pb: 0.000 0.500 0.726 [2 per cell]

## Properties
Total DFT energy (no corrections): -0.089 Ha/atom
Crystal system: orthorhombic
ΔH_f (0 K): -0.0189 eV per atom